# NdNi2Sn | the Alexandria database | PBE | optimized geometry
# **V**: 235.2 Å³/cell
# **Magnetic moment**: 0.00 μB/cell
# **Formation energy**: -0.447 eV/atom
# **Final energy**: -5.530 eV/atom
data_NdNi2Sn
_chemical_formula_sum 'Nd3 Ni6 Sn3'
_cell_length_a 4.4065
_cell_length_b 4.4065
_cell_length_c 13.9838
_cell_angle_alpha 90.00
_cell_angle_beta 90.00
_cell_angle_gamma 120.00
_space_group_name_H-M_alt 'R -3 m'
_space_group_IT_number 166
_space_group_name_Hall '-R 3 2"'
loop_
_atom_site_label
_atom_site_fract_x
_atom_site_fract_y
_atom_site_fract_z
_atom_site_occupancy
Nd1 0.0000 0.0000 0.0000 1
Ni1 0.0000 0.0000 0.2025 1
Sn1 0.0000 0.0000 0.5000 1

# V4Ir5 | the Alexandria database | PBE | optimized geometry
# **V**: 255.2 Å³/cell
# **Magnetic moment**: 0.00 μB/cell
# **Formation energy**: -0.419 eV/atom
# **Final energy**: -9.394 eV/atom
data_V4Ir5
_chemical_formula_sum 'V8 Ir10'
_cell_length_a 8.1653
_cell_length_b 8.1653
_cell_length_c 3.8273
_cell_angle_alpha 90.00
_cell_angle_beta 90.00
_cell_angle_gamma 90.00
_space_group_name_H-M_alt 'I 4/m m m'
_space_group_IT_number 139
_space_group_name_Hall '-I 4 2'
loop_
_atom_site_label
_atom_site_fract_x
_atom_site_fract_y
_atom_site_fract_z
_atom_site_occupancy
V1 0.0000 0.3218 0.0000 1
Ir1 0.0000 0.0000 0.0000 1
Ir2 0.1670 0.1670 0.5000 1

# YMgZn2O | the Alexandria database | PBE | optimized geometry
# **V**: 99.6 Å³/cell
# **Magnetic moment**: 0.00 μB/cell
# **Formation energy without anion corrections**: -326.6 kJ/mol of formula units
# **Final energy**: -3.790 eV/atom
data_YMgZn2O
_chemical_formula_sum 'Y1 Mg1 Zn2 O1'
_cell_length_a 4.8058
_cell_length_b 4.8058
_cell_length_c 4.3127
_cell_angle_alpha 90.00
_cell_angle_beta 90.00
_cell_angle_gamma 90.00
_space_group_name_H-M_alt 'P 4/m m m'
_space_group_IT_number 123
_space_group_name_Hall '-P 4 2'
loop_
_atom_site_label
_atom_site_fract_x
_atom_site_fract_y
_atom_site_fract_z
_atom_site_occupancy
Y1 0.0000 0.0000 0.0000 1
Mg1 0.5000 0.5000 0.0000 1
Zn1 0.0000 0.5000 0.5000 1
O1 0.0000 0.0000 0.5000 1

# DyAgPtAu | the Alexandria database | PBE | optimized geometry
# **V**: 316.7 Å³/cell
# **Magnetic moment**: 0.00 μB/cell
# **Formation energy**: -0.660 eV/atom
# **Final energy**: -4.853 eV/atom
data_DyAgPtAu
_chemical_formula_sum 'Dy4 Ag4 Pt4 Au4'
_cell_length_a 6.8166
_cell_length_b 6.8166
_cell_length_c 6.8166
_cell_angle_alpha 90.00
_cell_angle_beta 90.00
_cell_angle_gamma 90.00
_space_group_name_H-M_alt 'F -4 3 m'
_space_group_IT_number 216
_space_group_name_Hall 'F -4 2 3'
loop_
_atom_site_label
_atom_site_fract_x
_atom_site_fract_y
_atom_site_fract_z
_atom_site_occupancy
Dy1 0.0000 0.0000 0.0000 1
Ag1 0.0000 0.0000 0.5000 1
Pt1 0.2500 0.2500 0.2500 1
Au1 0.2500 0.2500 0.7500 1